1.
The following is a DFT calculation (PBE-GGA) of an optimized crystal structure of BaPuN3.

Properties
Formation energy without anion corrections: -0.724 eV/atom
Space group: Cmce, No. 64

a = 6.251 Å, b = 8.009 Å, c = 8.009 Å
α = 115.60°, β = 90.00°, γ = 90.00°
Site moments in Bohr magnetons follow the coordinates.
Positions (direct):
1 Ba 0.750 0.604 0.396  0.02
2 Ba 0.250 0.396 0.604  0.02
3 Ba 0.250 0.896 0.104  0.02
4 Ba 0.750 0.104 0.896  0.02
5 Pu 0.258 0.360 0.140  3.43
6 Pu 0.742 0.640 0.860  3.43
7 Pu 0.758 0.140 0.360  3.43
8 Pu 0.242 0.860 0.640  3.43
9 N 0.981 0.262 0.238  -0.23
10 N 0.019 0.738 0.762  -0.23
11 N 0.481 0.238 0.262  -0.23
12 N 0.519 0.762 0.738  -0.23
13 N 0.250 0.615 0.385  -0.24
14 N 0.750 0.385 0.615  -0.24
15 N 0.750 0.885 0.115  -0.24
16 N 0.250 0.115 0.885  -0.24
17 N 0.929 0.968 0.532  -0.01
18 N 0.071 0.032 0.468  -0.01
19 N 0.429 0.532 0.968  -0.01
20 N 0.571 0.468 0.032  -0.01

=====

2.
The following is a DFT calculation (PBE-GGA) of an optimized crystal structure of Ba5Pu2N6.

Properties
Formation energy without anion corrections: -0.652 eV/atom
Space group: C2/c, No. 15

a = 6.985 Å, b = 6.985 Å, c = 14.296 Å
α = 83.31°, β = 83.31°, γ = 67.45°
Site moments in Bohr magnetons follow the coordinates.
Positions (direct):
1 Ba 0.699 0.240 0.998  0.07
2 Ba 0.760 0.301 0.502  0.07
3 Ba 0.301 0.760 0.002  0.07
4 Ba 0.240 0.699 0.498  0.07
5 Ba 0.753 0.931 0.708  0.05
6 Ba 0.069 0.247 0.792  0.05
7 Ba 0.247 0.069 0.292  0.05
8 Ba 0.931 0.753 0.208  0.05
9 Ba 0.390 0.610 0.750  0.01
10 Ba 0.610 0.390 0.250  0.01
11 Pu 0.295 0.150 0.568  3.97
12 Pu 0.850 0.705 0.932  3.97
13 Pu 0.705 0.850 0.432  3.97
14 Pu 0.150 0.295 0.068  3.97
15 N 0.070 0.025 0.617  -0.20
16 N 0.975 0.930 0.883  -0.20
17 N 0.930 0.975 0.383  -0.20
18 N 0.025 0.070 0.117  -0.20
19 N 0.445 0.293 0.642  -0.15
20 N 0.707 0.555 0.858  -0.15
21 N 0.555 0.707 0.358  -0.15
22 N 0.293 0.445 0.142  -0.15
23 N 0.540 0.844 0.572  -0.18
24 N 0.156 0.460 0.928  -0.18
25 N 0.460 0.156 0.428  -0.18
26 N 0.844 0.540 0.072  -0.18

=====

3.
The following is a DFT calculation (PBE-GGA) of an optimized crystal structure of Ba2Pu2N5.

Properties
Formation energy without anion corrections: -0.849 eV/atom
Space group: Ima2, No. 46

a = 6.063 Å, b = 6.098 Å, c = 9.765 Å
α = 108.20°, β = 108.09°, γ = 90.00°
Site moments in Bohr magnetons follow the coordinates.
Positions (direct):
1 Ba 0.891 0.384 0.764  0.01
2 Ba 0.109 0.620 0.236  0.01
3 Ba 0.373 0.884 0.764  0.01
4 Ba 0.627 0.120 0.236  0.01
5 Pu 0.000 0.004 0.000  3.11
6 Pu 0.500 0.504 0.000  3.11
7 Pu 0.766 0.754 0.500  3.00
8 Pu 0.234 0.254 0.500  3.00
9 N 0.751 0.758 0.005  -0.25
10 N 0.249 0.753 0.995  -0.25
11 N 0.754 0.258 0.005  -0.25
12 N 0.246 0.253 0.995  -0.25
13 N 0.851 0.865 0.723  -0.20
14 N 0.149 0.142 0.277  -0.20
15 N 0.373 0.365 0.723  -0.20
16 N 0.627 0.642 0.277  -0.20
17 N 0.939 0.055 0.500  -0.23
18 N 0.061 0.555 0.500  -0.23

=====

4.
The following is a DFT calculation (PBE-GGA) of an optimized crystal structure of Ba2PuN.

Properties
Formation energy without anion corrections: 0.065 eV/atom
Space group: R-3m, No. 166

a = 3.862 Å, b = 3.862 Å, c = 11.261 Å
α = 80.13°, β = 80.13°, γ = 60.00°
Site moments in Bohr magnetons follow the coordinates.
Positions (direct):
1 N 0.500 0.500 0.500  0.03
2 Ba 0.120 0.120 0.641  0.05
3 Ba 0.880 0.880 0.359  0.05
4 Pu 0.000 0.000 0.000  5.93

=====

5.
The following is a DFT calculation (PBE-GGA) of an optimized crystal structure of BaPu2N3.

Properties
Offset from the most stable computed form: 0.106 eV/atom
Formation energy without anion corrections: -0.939 eV/atom
Space group: P6/mmm, No. 191

a = 6.483 Å, b = 6.056 Å, c = 6.056 Å
α = 120.00°, β = 90.00°, γ = 90.00°
Site moments in Bohr magnetons follow the coordinates.
Positions (direct):
1 Ba 0.250 0.500 0.500  0.17
2 Ba 0.750 0.500 0.500  0.17
3 Pu 0.500 0.833 0.167  4.46
4 Pu 0.000 0.833 0.167  4.46
5 Pu 0.000 0.167 0.833  4.46
6 Pu 0.500 0.167 0.833  4.46
7 N 0.750 0.500 0.000  -0.27
8 N 0.750 0.000 0.500  -0.27
9 N 0.250 0.500 0.000  -0.27
10 N 0.750 0.000 0.000  -0.27
11 N 0.250 0.000 0.000  -0.27
12 N 0.250 0.000 0.500  -0.27

=====

6.
The following is a DFT calculation (PBE-GGA) of an optimized crystal structure of Ba4PuN5.

Properties
Formation energy without anion corrections: -0.643 eV/atom
Space group: I4, No. 79

a = 6.733 Å, b = 6.733 Å, c = 6.733 Å
α = 100.07°, β = 100.07°, γ = 130.56°
Site moments in Bohr magnetons follow the coordinates.
Positions (direct):
1 Ba 0.382 0.783 0.186  -0.01
2 Ba 0.783 0.596 0.401  -0.01
3 Ba 0.196 0.382 0.599  -0.01
4 Ba 0.596 0.196 0.814  -0.01
5 Pu 0.974 0.974 0.000  1.64
6 N 0.915 0.219 0.151  -0.09
7 N 0.219 0.068 0.304  -0.09
8 N 0.763 0.915 0.696  -0.09
9 N 0.068 0.763 0.849  -0.09
10 N 0.594 0.594 0.000  -0.11

=====

7.
The following is a DFT calculation (PBE-GGA) of an optimized crystal structure of BaPu2N4.

Properties
Formation energy without anion corrections: -0.910 eV/atom
Space group: Cmcm, No. 63

a = 3.522 Å, b = 5.995 Å, c = 11.150 Å
α = 90.00°, β = 90.00°, γ = 107.08°
Site moments in Bohr magnetons follow the coordinates.
Positions (direct):
1 Ba 0.608 0.216 0.750  0.00
2 Ba 0.392 0.784 0.250  0.00
3 Pu 0.135 0.270 0.432  3.55
4 Pu 0.865 0.730 0.932  3.55
5 Pu 0.135 0.270 0.068  3.55
6 Pu 0.865 0.730 0.568  3.55
7 N 0.762 0.523 0.089  -0.25
8 N 0.762 0.523 0.411  -0.25
9 N 0.238 0.477 0.911  -0.25
10 N 0.238 0.477 0.589  -0.25
11 N 0.922 0.845 0.750  -0.25
12 N 0.078 0.155 0.250  -0.25
13 N 0.500 0.000 0.000  -0.27
14 N 0.500 0.000 0.500  -0.27

=====

8.
The following is a DFT calculation (PBE-GGA) of an optimized crystal structure of Ba3Pu2N6.

Properties
Formation energy without anion corrections: -0.772 eV/atom
Space group: I4/mmm, No. 139

a = 4.324 Å, b = 4.324 Å, c = 11.522 Å
α = 100.81°, β = 100.81°, γ = 90.00°
Site moments in Bohr magnetons follow the coordinates.
Positions (direct):
1 Ba 0.000 0.000 0.000  0.03
2 Ba 0.815 0.815 0.630  -0.01
3 Ba 0.185 0.185 0.370  -0.01
4 Pu 0.405 0.405 0.809  2.73
5 Pu 0.595 0.595 0.191  2.73
6 N 0.091 0.591 0.183  -0.23
7 N 0.591 0.091 0.183  -0.23
8 N 0.909 0.409 0.817  -0.23
9 N 0.409 0.909 0.817  -0.23
10 N 0.685 0.685 0.369  -0.20
11 N 0.315 0.315 0.631  -0.20

=====

9.
The following is a DFT calculation (PBE-GGA) of an optimized crystal structure of Ba2PuN3.

Properties
Offset from the most stable computed form: 0.000 eV/atom
Formation energy without anion corrections: -0.799 eV/atom
Space group: Cmcm, No. 63

a = 6.141 Å, b = 7.535 Å, c = 7.535 Å
α = 132.75°, β = 90.00°, γ = 90.00°
Site moments in Bohr magnetons follow the coordinates.
Positions (direct):
1 Ba 0.535 0.926 0.626  0.03
2 Ba 0.035 0.374 0.074  0.03
3 Ba 0.535 0.626 0.926  0.03
4 Ba 0.035 0.074 0.374  0.03
5 Pu 0.035 0.745 0.745  3.17
6 Pu 0.535 0.255 0.255  3.17
7 N 0.035 0.863 0.579  -0.15
8 N 0.535 0.421 0.137  -0.15
9 N 0.035 0.579 0.863  -0.15
10 N 0.535 0.137 0.421  -0.15
11 N 0.285 0.000 0.000  -0.17
12 N 0.785 0.000 0.000  -0.17

=====

10.
The following is a DFT calculation (PBE-GGA) of an optimized crystal structure of Ba2PuN3.

Properties
Offset from the most stable computed form: 0.007 eV/atom
Formation energy without anion corrections: -0.792 eV/atom
Space group: Cmme, No. 67

a = 6.144 Å, b = 7.556 Å, c = 12.098 Å
α = 90.00°, β = 90.00°, γ = 113.99°
Site moments in Bohr magnetons follow the coordinates.
Positions (direct):
1 Ba 0.600 0.201 0.632  0.04
2 Ba 0.600 0.201 0.132  0.04
3 Ba 0.100 0.201 0.868  0.04
4 Ba 0.900 0.799 0.632  0.04
5 Ba 0.900 0.799 0.132  0.04
6 Ba 0.400 0.799 0.368  0.04
7 Ba 0.100 0.201 0.368  0.04
8 Ba 0.400 0.799 0.868  0.04
9 Pu 0.750 0.500 0.875  3.14
10 Pu 0.750 0.500 0.375  3.14
11 Pu 0.250 0.500 0.625  3.14
12 Pu 0.250 0.500 0.125  3.14
13 N 0.500 0.500 0.750  -0.17
14 N 0.000 0.500 0.250  -0.17
15 N 0.608 0.216 0.884  -0.15
16 N 0.892 0.784 0.884  -0.15
17 N 0.108 0.216 0.116  -0.15
18 N 0.892 0.784 0.384  -0.15
19 N 0.608 0.216 0.384  -0.15
20 N 0.392 0.784 0.616  -0.15
21 N 0.108 0.216 0.616  -0.15
22 N 0.392 0.784 0.116  -0.15
23 N 0.000 0.500 0.750  -0.17
24 N 0.500 0.500 0.250  -0.17

=====

11.
The following is a DFT calculation (PBE-GGA) of an optimized crystal structure of BaPuN.

Properties
Offset from the most stable computed form: 0.000 eV/atom
Formation energy without anion corrections: -0.498 eV/atom
Space group: P3m1, No. 156

a = 6.915 Å, b = 3.682 Å, c = 3.682 Å
α = 120.00°, β = 90.00°, γ = 90.00°
Site moments in Bohr magnetons follow the coordinates.
Positions (direct):
1 N 0.279 0.333 0.667  -0.16
2 Ba 0.576 0.667 0.333  0.05
3 Pu 0.145 0.000 0.000  5.13

=====

12.
The following is a DFT calculation (PBE-GGA) of an optimized crystal structure of BaPuReN4.

Properties
Formation energy without anion corrections: -0.713 eV/atom
Space group: P2_1/m, No. 11

a = 6.058 Å, b = 5.958 Å, c = 7.457 Å
α = 90.00°, β = 106.64°, γ = 90.00°
Site moments in Bohr magnetons follow the coordinates.
Positions (direct):
1 Ba 0.715 0.750 0.927  0.02
2 Ba 0.285 0.250 0.073  0.02
3 Pu 0.798 0.750 0.453  4.85
4 Pu 0.202 0.250 0.547  4.85
5 Re 0.257 0.750 0.335  0.16
6 Re 0.743 0.250 0.665  0.16
7 N 0.944 0.492 0.692  -0.07
8 N 0.056 0.992 0.308  -0.07
9 N 0.056 0.508 0.308  -0.07
10 N 0.944 0.008 0.692  -0.07
11 N 0.441 0.750 0.176  -0.02
12 N 0.559 0.250 0.824  -0.02
13 N 0.460 0.750 0.566  -0.04
14 N 0.540 0.250 0.434  -0.04

=====

no.,E (eV/atom),density (g/cm³),total magnetic moment (Bohr magnetons per cell)
1,-8.971,7.776,12.0
2,-7.439,6.553,16.0
3,-9.086,8.530,10.0
4,-6.560,6.205,7.4
5,-10.200,10.761,17.5
6,-7.008,6.807,1.0
7,-10.037,10.055,12.0
8,-8.443,7.868,4.0
9,-7.991,7.272,6.0
10,-7.984,7.258,12.0
11,-8.692,8.083,5.5
12,-9.571,8.030,10.0